# VNiNF2

VNiNF2 after structural relaxation (PBE with a Hubbard U, Alexandria via LeMat-Bulk).

Values from the calculation:
For the total magnetization, the calculation gives 1.97 μB/f.u. As for the crystal system: tetragonal. The energy above the lowest structure with this stoichiometry is 0.0 kJ/mol of atoms.

abc: 3.9731 3.9731 3.8033
angles: 90.00 90.00 90.00
Last column: nearest neighbours and their distance in Å.
Fractional positions:
F  0.0000  0.5000  0.0000  2 V 1.99
F  0.5000  0.0000  0.0000  2 V 1.99
V  0.0000  0.0000  0.0000  2 N 1.90, 4 F 1.99
Ni  0.5000  0.5000  0.5000  8 F 2.75, 4 N 2.81
N  0.0000  0.0000  0.5000  2 V 1.90